Material: PaAsO
Method: DFT, GGA-PBE
State: optimized geometry

- Energy above the most stable polymorph in this dataset: 0.000 eV per atom
- ΔE_f (raw): -2217 meV/atom
- Raw total energy: -8.5853 eV per atom
- Mass density: 10.2 g cm⁻³

abc: 3.8643 3.8643 7.0025
angles: 90.00 90.00 90.00
Fractional positions:
Pa 0.2500 0.2500 0.1924
Pa 0.7500 0.7500 0.8076
As 0.2500 0.2500 0.6268
As 0.7500 0.7500 0.3732
O 0.2500 0.7500 0.0000
O 0.7500 0.2500 0.0000